(1)
NaCuGe2 (PBE-GGA, relaxed); calculated volume = 25.3 A^3/atom; formation enthalpy at 0 K = 4.650 kcal/mol of atoms; relative energy among the computed polymorphs = 256 meV per atom; M_tot = 0.00 μB per cell
1.0
4.9490 0.0000 0.0000
0.0000 4.9490 0.0000
0.0000 0.0000 16.4948
Na Cu Ge
4 4 8
Direct
0.0000 0.0000 0.0000
0.0000 0.5000 0.2500
0.5000 0.0000 0.7500
0.5000 0.5000 0.5000
0.0000 0.0000 0.5000
0.0000 0.5000 0.7500
0.5000 0.0000 0.2500
0.5000 0.5000 0.0000
0.0306 0.2500 0.6250
0.2500 0.5306 0.8750
0.2500 0.9694 0.3750
0.4694 0.2500 0.1250
0.5306 0.7500 0.1250
0.7500 0.0306 0.3750
0.7500 0.4694 0.8750
0.9694 0.7500 0.6250

=====

(2)
YPuHgSb (PBE-GGA, relaxed); formation energy from raw total energies = -47.4 kJ/mol of atoms; calculated volume = 26.6 A^3/atom; M_tot = 27.35 μB per cell
1.0
7.5240 0.0000 0.0000
0.0000 7.5240 0.0000
0.0000 0.0000 7.5240
Y Pu Hg Sb
4 4 4 4
Direct
0.0000 0.0000 0.0000
0.0000 0.5000 0.5000
0.5000 0.0000 0.5000
0.5000 0.5000 0.0000
0.0000 0.0000 0.5000
0.0000 0.5000 0.0000
0.5000 0.0000 0.0000
0.5000 0.5000 0.5000
0.2500 0.2500 0.7500
0.2500 0.7500 0.2500
0.7500 0.2500 0.2500
0.7500 0.7500 0.7500
0.2500 0.2500 0.2500
0.2500 0.7500 0.7500
0.7500 0.2500 0.7500
0.7500 0.7500 0.2500

=====

(3)
AcCuCl (PBE-GGA, relaxed); formation energy from raw total energies = -110.2 kJ/mol of atoms; calculated volume = 29.7 A^3/atom; M_tot = 0.00 μB per cell
1.0
7.4556 0.0000 0.0000
0.0000 4.3658 0.0000
-1.9489 0.0000 10.9501
Ac Cu Cl
4 4 4
Direct
0.0798 0.0000 0.1879
0.4202 0.5000 0.8121
0.5798 0.5000 0.1879
0.9202 0.0000 0.8121
0.1662 0.5000 0.9986
0.3338 0.0000 0.0014
0.6662 0.0000 0.9986
0.8338 0.5000 0.0014
0.2070 0.0000 0.6463
0.2930 0.5000 0.3537
0.7070 0.5000 0.6463
0.7930 0.0000 0.3537

=====

(4)
ZrFe2P (PBE-GGA, relaxed); calculated volume = 15.3 A^3/atom; formation enthalpy at 0 K = -6.575 kcal/mol of atoms; M_tot = 3.31 μB per cell
1.0
3.3090 0.0000 0.0000
0.0000 3.8390 0.0000
-0.0285 0.0000 4.8086
Zr Fe P
1 2 1
Direct
0.0000 0.0000 0.0000
0.4981 0.5000 0.7551
0.5019 0.5000 0.2449
0.5000 0.0000 0.5000

=====

| no. | electronic total energy (eV/cell) |
| --- | --- |
| 1 | -55.37 |
| 2 | -108.74 |
| 3 | -53.91 |
| 4 | -32.02 |